Ni2HO: relaxed, PBE+U.

POSCAR file:
```
Ni2HO
1.0
0.0000 2.6101 2.6101
2.6101 0.0000 2.6101
2.6101 2.6101 0.0000
Ni H O
2 1 1
direct
0.2500 0.2500 0.2500
0.7500 0.7500 0.7500
0.0000 0.0000 0.0000
0.5000 0.5000 0.5000
```

Fermi-level density of states = 2.04 states/eV/f.u.
Offset from the most stable computed form = 734.4 meV/atom



RbMnF3: relaxed, PBE+U.

POSCAR file:
```
RbMnF3
1.0
6.4920 -4.9491 0.0000
6.4920 4.9491 0.0000
0.0000 0.0000 5.8026
Rb Mn F
4 4 12
direct
0.1310 0.3690 0.2500
0.3690 0.1310 0.7500
0.6310 0.8690 0.2500
0.8690 0.6310 0.7500
0.1636 0.8364 0.3845
0.3364 0.6636 0.8845
0.6636 0.3364 0.1155
0.8364 0.1636 0.6155
0.0988 0.0988 0.5000
0.1047 0.6931 0.0962
0.1931 0.6047 0.5962
0.3069 0.8953 0.0962
0.3953 0.8069 0.5962
0.4012 0.4012 0.0000
0.5988 0.5988 0.0000
0.6047 0.1931 0.4038
0.6931 0.1047 0.9038
0.8069 0.3953 0.4038
0.8953 0.3069 0.9038
0.9012 0.9012 0.5000
```

E_tot = -109.75 eV for the cell shown
Fermi-level density of states = 0.00 states/eV/f.u.